[1]
# meta-GGA SCAN SbPt2F, single point on PBEsol structure
data_SbPt2F
_chemical_formula_sum 'Sb4 Pt8 F4'
_cell_length_a 6.242
_cell_length_b 6.242
_cell_length_c 6.242
_cell_angle_alpha 90.00
_cell_angle_beta 90.00
_cell_angle_gamma 90.00
_symmetry_space_group_name_H-M 'F m -3 m'
_symmetry_Int_Tables_number 225
_symmetry_space_group_name_Hall '-F 4 2 3'
loop_
_atom_site_label
_atom_site_fract_x
_atom_site_fract_y
_atom_site_fract_z
Sb1 0.000 0.000 0.000
Pt1 0.250 0.250 0.250
F1 0.000 0.000 0.500
# Energy relative to the elements, uncorrected in eV per atom: -0.41

=====

[2]
# meta-GGA SCAN CoBiSe2, single point on PBEsol structure
data_CoBiSe2
_chemical_formula_sum 'Co3 Bi3 Se6'
_cell_length_a 3.4997
_cell_length_b 3.4997
_cell_length_c 24.7196
_cell_angle_alpha 90.00
_cell_angle_beta 90.00
_cell_angle_gamma 120.00
_symmetry_space_group_name_H-M 'R -3 m'
_symmetry_Int_Tables_number 166
_symmetry_space_group_name_Hall '-R 3 2"'
loop_
_atom_site_label
_atom_site_fract_x
_atom_site_fract_y
_atom_site_fract_z
Co1 0.0000 0.0000 0.0000
Bi1 0.0000 0.0000 0.5000
Se1 0.0000 0.0000 0.3814
# Energy relative to the elements, uncorrected in eV per atom: -0.28

=====

[3]
# meta-GGA SCAN AsBrOF2, single point on PBEsol structure
data_AsBrOF2
_chemical_formula_sum 'As1 Br1 O1 F2'
_cell_length_a 4.011
_cell_length_b 4.011
_cell_length_c 4.306
_cell_angle_alpha 90.00
_cell_angle_beta 90.00
_cell_angle_gamma 90.00
_symmetry_space_group_name_H-M 'P 4/m m m'
_symmetry_Int_Tables_number 123
_symmetry_space_group_name_Hall '-P 4 2'
loop_
_atom_site_label
_atom_site_fract_x
_atom_site_fract_y
_atom_site_fract_z
As1 0.000 0.000 0.000
Br1 0.500 0.500 0.500
O1 0.000 0.000 0.500
F1 0.000 0.500 0.000
# Energy relative to the elements, uncorrected in eV per atom: -0.69

=====

[4]
# meta-GGA SCAN NaLa2Se3, single point on PBEsol structure
data_NaLa2Se3
_chemical_formula_sum 'Na1 La2 Se3'
_cell_length_a 4.2665
_cell_length_b 4.2665
_cell_length_c 10.4419
_cell_angle_alpha 90.00
_cell_angle_beta 90.00
_cell_angle_gamma 120.00
_symmetry_space_group_name_H-M 'P -3 m 1'
_symmetry_Int_Tables_number 164
_symmetry_space_group_name_Hall '-P 3 2"'
loop_
_atom_site_label
_atom_site_fract_x
_atom_site_fract_y
_atom_site_fract_z
Na1 0.0000 0.0000 0.0000
La1 0.3333 0.6667 0.6702
Se1 0.0000 0.0000 0.5000
Se2 0.3333 0.6667 0.1709
# Energy relative to the elements, uncorrected in eV per atom: -2.06

=====

[5]
# meta-GGA SCAN K4GeS4, single point on PBEsol structure
data_K4GeS4
_chemical_formula_sum 'K32 Ge8 S32'
_cell_length_a 12.693
_cell_length_b 12.693
_cell_length_c 12.693
_cell_angle_alpha 90.00
_cell_angle_beta 90.00
_cell_angle_gamma 90.00
_symmetry_space_group_name_H-M 'P -4 3 n'
_symmetry_Int_Tables_number 218
_symmetry_space_group_name_Hall 'P -4n 2 3'
loop_
_atom_site_label
_atom_site_fract_x
_atom_site_fract_y
_atom_site_fract_z
K1 0.087 0.134 0.651
K2 0.152 0.152 0.152
Ge1 0.000 0.000 0.000
Ge2 0.000 0.500 0.250
S1 0.097 0.389 0.655
S2 0.101 0.101 0.899
# Energy relative to the elements, uncorrected in eV per atom: -1.24

=====

[6]
A crystal of CaBeMo relaxed with PBEsol. Source: the Alexandria database, functional meta-GGA SCAN.

```
data_CaBeMo
_chemical_formula_sum 'Ca4 Be4 Mo4'
_cell_length_a 6.354
_cell_length_b 6.354
_cell_length_c 6.354
_cell_angle_alpha 90.00
_cell_angle_beta 90.00
_cell_angle_gamma 90.00
_symmetry_space_group_name_H-M 'F -4 3 m'
_symmetry_Int_Tables_number 216
_symmetry_space_group_name_Hall 'F -4 2 3'
loop_
_atom_site_label
_atom_site_fract_x
_atom_site_fract_y
_atom_site_fract_z
Ca1 0.000 0.000 0.000
Be1 0.250 0.250 0.250
Mo1 0.250 0.250 0.750
```

=====

| no. | calculated total energy (eV/atom) |
| --- | --- |
| 1 | -45.705 |
| 2 | -34.292 |
| 3 | -11.285 |
| 4 | -27.165 |
| 5 | -11.343 |
| 6 | -14.476 |